Below is a geometry-optimized BPN3 structure, with properties calculated at the PBE level.

Computed properties:
For the total magnetic moment, the calculation gives 0.1 Bohr magnetons per cell. The density of states at the Fermi level comes out at 3.35 states/eV/f.u. The calculated total energy comes out at -5.655 eV/atom. The value obtained for the raw formation energy is 1.757 eV per atom.

The structure in CIF format:
```
data_BPN3
_chemical_formula_sum 'B1 P1 N3'
_space_group_name_H-M_alt 'P m -3 m'
_space_group_IT_number 221
_space_group_name_Hall '-P 4 2 3'
_cell_length_a 3.363
_cell_length_b 3.363
_cell_length_c 3.363
_cell_angle_alpha 90.00
_cell_angle_beta 90.00
_cell_angle_gamma 90.00
loop_
_atom_site_label
_atom_site_type_symbol
_atom_site_fract_x
_atom_site_fract_y
_atom_site_fract_z
_atom_site_occupancy
B1 B 0.000 0.000 0.000 1
P1 P 0.500 0.500 0.500 1
N1 N 0.000 0.000 0.500 1
```


Below is a geometry-optimized CaTbTl structure, with properties calculated at the PBE level.

Computed properties:
For the total magnetic moment, the calculation gives 0.0 Bohr magnetons per cell. As for the energy of formation: -0.17 eV/atom. The density of states at the Fermi level comes out at 1.68 states/eV/f.u. The calculated total energy comes out at -3.167 eV/atom.

The structure in CIF format:
```
data_CaTbTl
_chemical_formula_sum 'Ca1 Tb1 Tl1'
_space_group_name_H-M_alt 'P 3 m 1'
_space_group_IT_number 156
_cell_length_a 5.3287
_cell_length_b 5.3287
_cell_length_c 3.7850
_cell_angle_alpha 90.00
_cell_angle_beta 90.00
_cell_angle_gamma 120.00
loop_
_space_group_symop_operation_xyz
'x,y,z'
'-y,x-y,z'
'-x+y,-x,z'
'-y,-x,z'
'-x+y,y,z'
'x,x-y,z'
loop_
_atom_site_label
_atom_site_type_symbol
_atom_site_fract_x
_atom_site_fract_y
_atom_site_fract_z
_atom_site_occupancy
Ca1 Ca 0.0000 0.0000 0.0000 1
Tb1 Tb 0.3333 0.6667 0.4606 1
Tl1 Tl 0.6667 0.3333 0.6688 1
```


Below is a geometry-optimized Ac2Ga6PdPt structure, with properties calculated at the PBE level.

Computed properties:
For the total magnetic moment, the calculation gives 0.0 Bohr magnetons per cell. As for the energy of formation: -0.39 eV/atom. The density of states at the Fermi level comes out at 8.91 states/eV/f.u. The calculated total energy comes out at -4.156 eV/atom.

The structure in CIF format:
```
data_Ac2Ga6PdPt
_chemical_formula_sum 'Ac4 Ga12 Pd2 Pt2'
_space_group_name_H-M_alt 'C 1 2/m 1'
_space_group_IT_number 12
_cell_length_a 12.056
_cell_length_b 6.967
_cell_length_c 6.954
_cell_angle_alpha 90.00
_cell_angle_beta 125.19
_cell_angle_gamma 90.00
loop_
_space_group_symop_operation_xyz
'x,y,z'
'-x,-y,-z'
'-x,y,-z'
'x,-y,z'
'x+1/2,y+1/2,z'
'-x+1/2,-y+1/2,-z'
'-x+1/2,y+1/2,-z'
'x+1/2,-y+1/2,z'
loop_
_atom_site_label
_atom_site_type_symbol
_atom_site_fract_x
_atom_site_fract_y
_atom_site_fract_z
_atom_site_occupancy
Ac1 Ac 0.250 0.000 0.250 1
Ga1 Ga 0.000 0.249 0.251 1
Ga2 Ga 0.249 0.000 0.748 1
Pd1 Pd 0.000 0.000 0.500 1
Pt1 Pt 0.000 0.500 0.000 1
```


Below is a geometry-optimized CeEr2Tm structure, with properties calculated at the PBE level.

Computed properties:
For the total magnetic moment, the calculation gives 0.4 Bohr magnetons per cell. As for the energy of formation: 0.06 eV/atom. The density of states at the Fermi level comes out at 6.80 states/eV/f.u. The calculated total energy comes out at -4.818 eV/atom.

The structure in CIF format:
```
data_CeEr2Tm
_chemical_formula_sum 'Ce1 Er2 Tm1'
_space_group_name_H-M_alt 'P 4/m m m'
_space_group_IT_number 123
_space_group_name_Hall '-P 4 2'
_cell_length_a 4.942
_cell_length_b 4.942
_cell_length_c 4.952
_cell_angle_alpha 90.00
_cell_angle_beta 90.00
_cell_angle_gamma 90.00
loop_
_atom_site_label
_atom_site_type_symbol
_atom_site_fract_x
_atom_site_fract_y
_atom_site_fract_z
_atom_site_occupancy
Ce1 Ce 0.000 0.000 0.000 1
Er1 Er 0.000 0.500 0.500 1
Tm1 Tm 0.500 0.500 0.000 1
```


Below is a geometry-optimized LiCd6Au3 structure, with properties calculated at the PBE level.

Computed properties:
For the total magnetic moment, the calculation gives 0.0 Bohr magnetons per cell. As for the energy of formation: -0.16 eV/atom. The density of states at the Fermi level comes out at 3.32 states/eV/f.u. The calculated total energy comes out at -1.882 eV/atom.

The structure in CIF format:
```
data_LiCd6Au3
_chemical_formula_sum 'Li4 Cd24 Au12'
_space_group_name_H-M_alt 'C m c 21'
_space_group_IT_number 36
_cell_length_a 10.516
_cell_length_b 14.070
_cell_length_c 5.959
_cell_angle_alpha 90.00
_cell_angle_beta 90.00
_cell_angle_gamma 90.00
loop_
_space_group_symop_operation_xyz
'x,y,z'
'-x,-y,z+1/2'
'-x,y,z'
'x,-y,z+1/2'
'x+1/2,y+1/2,z'
'-x+1/2,-y+1/2,z+1/2'
'-x+1/2,y+1/2,z'
'x+1/2,-y+1/2,z+1/2'
loop_
_atom_site_label
_atom_site_type_symbol
_atom_site_fract_x
_atom_site_fract_y
_atom_site_fract_z
_atom_site_occupancy
Li1 Li 0.000 0.246 0.000 1
Cd1 Cd 0.000 0.287 0.522 1
Cd2 Cd 0.000 0.457 0.829 1
Cd3 Cd 0.174 0.025 0.989 1
Cd4 Cd 0.250 0.199 0.285 1
Au1 Au 0.000 0.108 0.297 1
Au2 Au 0.155 0.385 0.189 1
```


Below is a geometry-optimized Tm2BeCo structure, with properties calculated at the PBE level.

Computed properties:
For the total magnetic moment, the calculation gives 0.0 Bohr magnetons per cell. As for the energy of formation: -0.09 eV/atom. The density of states at the Fermi level comes out at 2.55 states/eV/f.u. The calculated total energy comes out at -5.033 eV/atom.

The structure in CIF format:
```
data_Tm2BeCo
_chemical_formula_sum 'Tm8 Be4 Co4'
_space_group_name_H-M_alt 'F m -3 m'
_space_group_IT_number 225
_space_group_name_Hall '-F 4 2 3'
_cell_length_a 6.630
_cell_length_b 6.630
_cell_length_c 6.630
_cell_angle_alpha 90.00
_cell_angle_beta 90.00
_cell_angle_gamma 90.00
loop_
_atom_site_label
_atom_site_type_symbol
_atom_site_fract_x
_atom_site_fract_y
_atom_site_fract_z
_atom_site_occupancy
Tm1 Tm 0.250 0.250 0.250 1
Be1 Be 0.000 0.000 0.000 1
Co1 Co 0.000 0.000 0.500 1
```


Below is a geometry-optimized NdDyHoHg structure, with properties calculated at the PBE level.

Computed properties:
For the total magnetic moment, the calculation gives 0.0 Bohr magnetons per cell. As for the energy of formation: -0.06 eV/atom. The density of states at the Fermi level comes out at 5.24 states/eV/f.u. The calculated total energy comes out at -3.621 eV/atom.

The structure in CIF format:
```
data_NdDyHoHg
_chemical_formula_sum 'Nd4 Dy4 Ho4 Hg4'
_space_group_name_H-M_alt 'F -4 3 m'
_space_group_IT_number 216
_space_group_name_Hall 'F -4 2 3'
_cell_length_a 7.718
_cell_length_b 7.718
_cell_length_c 7.718
_cell_angle_alpha 90.00
_cell_angle_beta 90.00
_cell_angle_gamma 90.00
loop_
_atom_site_label
_atom_site_type_symbol
_atom_site_fract_x
_atom_site_fract_y
_atom_site_fract_z
_atom_site_occupancy
Nd1 Nd 0.000 0.000 0.000 1
Dy1 Dy 0.000 0.000 0.500 1
Ho1 Ho 0.250 0.250 0.750 1
Hg1 Hg 0.250 0.250 0.250 1
```


Below is a geometry-optimized MnOs2Pd structure, with properties calculated at the PBE level.

Computed properties:
For the total magnetic moment, the calculation gives 0.0 Bohr magnetons per cell. As for the energy of formation: 0.70 eV/atom. The density of states at the Fermi level comes out at 3.97 states/eV/f.u. The calculated total energy comes out at -8.506 eV/atom.

The structure in CIF format:
```
data_MnOs2Pd
_chemical_formula_sum 'Mn4 Os8 Pd4'
_space_group_name_H-M_alt 'I -4 2 d'
_space_group_IT_number 122
_space_group_name_Hall 'I -4 2bw'
_cell_length_a 6.934
_cell_length_b 6.934
_cell_length_c 5.073
_cell_angle_alpha 90.00
_cell_angle_beta 90.00
_cell_angle_gamma 90.00
loop_
_atom_site_label
_atom_site_type_symbol
_atom_site_fract_x
_atom_site_fract_y
_atom_site_fract_z
_atom_site_occupancy
Mn1 Mn 0.000 0.000 0.000 1
Os1 Os 0.194 0.250 0.125 1
Pd1 Pd 0.000 0.000 0.500 1
```